First-principles (GGA-PBE) data for a geometry-optimized UMnFeGe structure, as listed in Alexandria.

DFT formation energy: -0.032 eV per atom
Space group: F-43m, No. 216

POSCAR file:
```
UMnFeGe
1.0
4.376 0.000 0.000
2.188 3.790 0.000
2.188 1.263 3.573
Ge Mn U Fe
1 1 1 1
direct
0.250 0.250 0.250 Ge
0.500 0.500 0.500 Mn
0.750 0.750 0.750 U
0.000 0.000 0.000 Fe
```